Here is a geometry-optimized Sr2MnPdO4 structure from Alexandria via LeMat-Bulk. Energies are from PBE with a Hubbard U. Values from VASP.

## Properties
Electronic total energy ... -6.272 eV per atom
Space-group type ... I-4

Geometry as Quantum ESPRESSO input:
```
&SYSTEM
  ibrav = 0, nat = 8, ntyp = 4
/
ATOMIC_SPECIES
Sr 87.62 Sr.upf
Mn 54.94 Mn.upf
Pd 106.42 Pd.upf
O 16.00 O.upf
CELL_PARAMETERS angstrom
-3.887 3.287 -1.880
-1.847 -5.053 0.703
1.766 1.604 4.874
ATOMIC_POSITIONS crystal
Sr 0.500 0.750 0.250
Sr 0.000 0.000 0.000
Mn 0.000 0.500 0.500
Pd 0.500 0.250 0.750
O 0.624 0.498 0.539
O 0.041 0.126 0.502
O 0.959 0.461 0.085
O 0.376 0.915 0.874
```